This record from Alexandria describes a relaxed ReRh3 crystal. The functional is PBEsol.

Geometry as POSCAR:
```
ReRh3
1.0
2.691 0.000 0.000
0.000 2.691 0.000
0.000 0.000 15.231
Re Rh
2 6
Direct
0.250 0.250 0.187
0.750 0.750 0.813
0.250 0.250 0.440
0.250 0.250 0.689
0.250 0.250 0.934
0.750 0.750 0.066
0.750 0.750 0.311
0.750 0.750 0.560
```

The density of states at the Fermi level comes out at 1.007 states/eV per atom. The energy relative to the lowest polymorph listed for this composition is 19 meV/atom. As for the density: 14.904 g/cm3. Its formation enthalpy at 0 K is -85 meV per atom.